Record 1
VASP calculation (PBE) on an optimized crystal structure of Pr2Tl4Cd.

abc: 7.3700 7.3700 6.0320
angles: 106.75 106.75 45.43
Fractional coordinates of all 7 atoms:
Pr (0.1460, 0.1460, 0.0864)
Pr (0.8540, 0.8540, 0.9136)
Tl (0.0000, 0.0000, 0.5000)
Tl (0.2511, 0.2511, 0.6547)
Tl (0.5000, 0.5000, 0.0000)
Tl (0.7489, 0.7489, 0.3453)
Cd (0.5000, 0.5000, 0.5000)

Results
mass density	9.08	g cm⁻³
energy of formation	-5.02	kJ/mol of atoms


Record 2
VASP calculation (PBE) on an optimized crystal structure of LiTm2F7.

abc: 10.4213 10.4213 10.4213
angles: 21.45 21.45 21.45
Fractional coordinates of all 10 atoms:
Li (0.0000, 0.0000, 0.0000)
Tm (0.4290, 0.4290, 0.4290)
Tm (0.5710, 0.5710, 0.5710)
F (0.0776, 0.0776, 0.0776)
F (0.2222, 0.2222, 0.2222)
F (0.3604, 0.3604, 0.3604)
F (0.5000, 0.5000, 0.5000)
F (0.6396, 0.6396, 0.6396)
F (0.7778, 0.7778, 0.7778)
F (0.9224, 0.9224, 0.9224)

Results
mass density	5.99	g cm⁻³
formation energy without anion corrections	-38.51	eV per formula unit


Record 3
VASP calculation (PBE) on an optimized crystal structure of LaPmTeAs.

abc: 7.7885 7.7885 7.7885
angles: 32.59 32.59 32.59
Fractional coordinates of all 4 atoms:
La (0.0000, 0.0000, 0.0000)
Pm (0.5186, 0.5186, 0.5186)
Te (0.7616, 0.7616, 0.7616)
As (0.2571, 0.2571, 0.2571)

Results
mass density	6.62	g cm⁻³
formation energy without anion corrections	-6.38	eV per formula unit


Record 4
VASP calculation (PBE) on an optimized crystal structure of ZnHCI2.

abc: 5.2004 5.2004 3.4197
angles: 90.00 90.00 90.00
Fractional coordinates of all 5 atoms:
Zn (0.0000, 0.0000, 0.0000)
H (0.5000, 0.5000, 0.0000)
C (0.5000, 0.5000, 0.5000)
I (0.0000, 0.5000, 0.5000)
I (0.5000, 0.0000, 0.5000)

Results
mass density	5.97	g cm⁻³
raw total energy	-11.4	eV for the cell shown


Record 5
VASP calculation (PBE) on an optimized crystal structure of BaSrHfRh2.

abc: 5.1938 5.1938 5.4365
angles: 90.00 90.00 90.00
Fractional coordinates of all 5 atoms:
Ba (0.0000, 0.0000, 0.0000)
Sr (0.5000, 0.5000, 0.5000)
Hf (0.0000, 0.0000, 0.5000)
Rh (0.0000, 0.5000, 0.0000)
Rh (0.5000, 0.0000, 0.0000)

Results
mass density	6.90	g cm⁻³
energy of formation	127.52	kJ/mol of atoms


Record 6
VASP calculation (PBE) on an optimized crystal structure of LiPu2Si.

abc: 3.8305 3.8305 5.7704
angles: 90.00 90.00 90.00
Fractional coordinates of all 4 atoms:
Li (0.0000, 0.0000, 0.0000)
Pu (0.5000, 0.5000, 0.2651)
Pu (0.5000, 0.5000, 0.7349)
Si (0.0000, 0.0000, 0.5000)

Results
mass density	10.26	g cm⁻³
formation energy without anion corrections	-0.30	eV per formula unit


Record 7
VASP calculation (PBE) on an optimized crystal structure of Rb2RuCl8.

abc: 9.1526 9.1526 5.9022
angles: 93.53 93.53 44.14
Fractional coordinates of all 11 atoms:
Rb (0.1913, 0.1913, 0.2389)
Rb (0.8087, 0.8087, 0.7611)
Ru (0.5000, 0.5000, 0.5000)
Cl (0.1731, 0.6520, 0.3609)
Cl (0.2768, 0.2768, 0.7553)
Cl (0.3480, 0.8269, 0.6391)
Cl (0.4392, 0.4392, 0.8446)
Cl (0.5608, 0.5608, 0.1554)
Cl (0.6520, 0.1731, 0.3609)
Cl (0.7232, 0.7232, 0.2447)
Cl (0.8269, 0.3480, 0.6391)

Results
mass density	2.69	g cm⁻³
formation energy without anion corrections	-9.75	eV per formula unit


Record 8
VASP calculation (PBE) on an optimized crystal structure of YMg2In.

abc: 3.4007 5.1496 5.8779
angles: 90.00 95.61 90.00
Fractional coordinates of all 4 atoms:
Y (0.0000, 0.0000, 0.0000)
Mg (0.3915, 0.5000, 0.7486)
Mg (0.6085, 0.5000, 0.2514)
In (0.5000, 0.0000, 0.5000)

Results
mass density	4.09	g cm⁻³
energy of formation	-15.70	kJ/mol of atoms


Record 9
VASP calculation (PBE) on an optimized crystal structure of Sr2Cd3Ag4Pb.

abc: 4.7077 4.7077 11.9611
angles: 90.00 90.00 90.00
Fractional coordinates of all 10 atoms:
Sr (0.0000, 0.5000, 0.2440)
Sr (0.5000, 0.0000, 0.7560)
Cd (0.0000, 0.5000, 0.8728)
Cd (0.5000, 0.0000, 0.1272)
Cd (0.5000, 0.5000, 0.5000)
Ag (0.0000, 0.0000, 0.0000)
Ag (0.0000, 0.5000, 0.6451)
Ag (0.5000, 0.0000, 0.3549)
Ag (0.5000, 0.5000, 0.0000)
Pb (0.0000, 0.0000, 0.5000)

Results
mass density	7.21	g cm⁻³
energy of formation	-19.58	kJ/mol of atoms


Record 10
VASP calculation (PBE) on an optimized crystal structure of BTePt.

abc: 7.8294 6.2369 8.8188
angles: 59.78 43.50 76.72
Fractional coordinates of all 12 atoms:
B (0.0601, 0.9399, 0.1438)
B (0.1062, 0.3938, 0.1899)
B (0.3938, 0.1062, 0.3101)
B (0.9399, 0.0601, 0.8562)
Te (0.3133, 0.6083, 0.3943)
Te (0.5660, 0.8557, 0.6417)
Te (0.6083, 0.3133, 0.6840)
Te (0.8557, 0.5660, 0.9367)
Pt (0.0523, 0.7339, 0.0327)
Pt (0.0689, 0.2173, 0.5161)
Pt (0.2173, 0.0689, 0.1977)
Pt (0.7339, 0.0523, 0.1811)

Results
mass density	8.88	g cm⁻³
formation energy without anion corrections	0.48	eV per formula unit


Record 11
VASP calculation (PBE) on an optimized crystal structure of La2Pm8Pb.

abc: 9.6501 9.6501 8.1261
angles: 104.42 104.42 30.48
Fractional coordinates of all 11 atoms:
La (0.2219, 0.2219, 0.1318)
La (0.7781, 0.7781, 0.8682)
Pm (0.0427, 0.0427, 0.2288)
Pm (0.1374, 0.1374, 0.6779)
Pm (0.3225, 0.3225, 0.5930)
Pm (0.4110, 0.4110, 0.0614)
Pm (0.5890, 0.5890, 0.9386)
Pm (0.6775, 0.6775, 0.4070)
Pm (0.8626, 0.8626, 0.3221)
Pm (0.9573, 0.9573, 0.7712)
Pb (0.5000, 0.5000, 0.5000)

Results
mass density	7.37	g cm⁻³
energy of formation	-7.23	kJ/mol of atoms


Record 12
VASP calculation (PBE) on an optimized crystal structure of MgBiAu.

abc: 6.6356 6.6356 6.6356
angles: 150.65 150.65 41.98
Fractional coordinates of all 3 atoms:
Mg (0.0000, 0.0000, 0.0000)
Bi (0.3021, 0.3021, 0.0000)
Au (0.6148, 0.6148, 0.0000)

Results
mass density	10.20	g cm⁻³
energy of formation	-23.18	kJ/mol of atoms


Record 13
VASP calculation (PBE) on an optimized crystal structure of KNiCl.

abc: 7.6007 6.0023 5.4903
angles: 82.68 51.56 45.76
Fractional coordinates of all 3 atoms:
K (0.0000, 0.0000, 0.0000)
Ni (0.7273, 0.7273, 0.2727)
Cl (0.2715, 0.2715, 0.7285)

Results
mass density	1.88	g cm⁻³
formation energy without anion corrections	-0.78	eV per formula unit


Record 14
VASP calculation (PBE) on an optimized crystal structure of Tm3Mg8Sc.

abc: 5.9818 5.9818 9.6253
angles: 90.00 90.00 120.00
Fractional coordinates of all 12 atoms:
Tm (0.0000, 0.0000, 0.0000)
Tm (0.0000, 0.0000, 0.3732)
Tm (0.3333, 0.6667, 0.8666)
Mg (0.0095, 0.5048, 0.1864)
Mg (0.3249, 0.1625, 0.6828)
Mg (0.4952, 0.5048, 0.1864)
Mg (0.4952, 0.9905, 0.1864)
Mg (0.6667, 0.3333, 0.4350)
Mg (0.6667, 0.3333, 0.9349)
Mg (0.8375, 0.1625, 0.6828)
Mg (0.8375, 0.6751, 0.6828)
Sc (0.3333, 0.6667, 0.4967)

Results
mass density	4.15	g cm⁻³
energy of formation	-3.35	kJ/mol of atoms


Record 15
VASP calculation (PBE) on an optimized crystal structure of TiNb2VCr.

abc: 4.7862 4.7862 4.0224
angles: 90.00 90.00 90.00
Fractional coordinates of all 5 atoms:
Ti (0.0000, 0.0000, 0.0000)
Nb (0.0000, 0.5000, 0.0000)
Nb (0.5000, 0.0000, 0.0000)
V (0.5000, 0.5000, 0.5000)
Cr (0.0000, 0.0000, 0.5000)

Results
mass density	6.07	g cm⁻³
energy of formation	131.70	kJ/mol of atoms


Record 16
VASP calculation (PBE) on an optimized crystal structure of BaAu3.

abc: 4.3528 4.8438 5.5036
angles: 90.00 90.06 90.00
Fractional coordinates of all 4 atoms:
Ba (0.0000, 0.0000, 0.0000)
Au (0.5000, 0.0000, 0.5000)
Au (0.5004, 0.5000, 0.2463)
Au (0.4996, 0.5000, 0.7537)

Results
mass density	10.42	g cm⁻³
energy of formation	-52.85	kJ/mol of atoms


Record 17
VASP calculation (PBE) on an optimized crystal structure of Tl2ZnSbF6.

abc: 5.5703 6.0027 6.4509
angles: 67.66 71.40 89.57
Fractional coordinates of all 10 atoms:
Tl (0.2481, 0.2525, 0.0150)
Tl (0.7519, 0.7475, 0.9850)
Zn (0.0000, 0.5000, 0.5000)
Sb (0.5000, 0.0000, 0.5000)
F (0.1630, 0.1721, 0.6150)
F (0.2449, 0.6663, 0.6175)
F (0.2486, 0.6037, 0.1732)
F (0.7514, 0.3963, 0.8268)
F (0.7551, 0.3337, 0.3825)
F (0.8370, 0.8279, 0.3850)

Results
mass density	6.29	g cm⁻³
formation energy without anion corrections	-19.43	eV per formula unit


Record 18
VASP calculation (PBE) on an optimized crystal structure of ReAg3Se.

abc: 5.0538 5.0538 5.0538
angles: 90.00 90.00 90.00
Fractional coordinates of all 5 atoms:
Re (0.0000, 0.0000, 0.0000)
Ag (0.0000, 0.0000, 0.5000)
Ag (0.0000, 0.5000, 0.0000)
Ag (0.5000, 0.0000, 0.0000)
Se (0.5000, 0.5000, 0.5000)

Results
mass density	7.57	g cm⁻³
formation energy without anion corrections	8.57	eV per formula unit


Record 19
VASP calculation (PBE) on an optimized crystal structure of Zr2Ni2Au.

abc: 7.0694 7.0694 3.3412
angles: 90.00 90.00 90.00
Fractional coordinates of all 10 atoms:
Zr (0.1739, 0.3261, 0.0000)
Zr (0.3261, 0.8261, 0.0000)
Zr (0.6739, 0.1739, 0.0000)
Zr (0.8261, 0.6739, 0.0000)
Ni (0.1237, 0.6237, 0.5000)
Ni (0.3763, 0.1237, 0.5000)
Ni (0.6237, 0.8763, 0.5000)
Ni (0.8763, 0.3763, 0.5000)
Au (0.0000, 0.0000, 0.5000)
Au (0.5000, 0.5000, 0.5000)

Results
mass density	9.88	g cm⁻³
energy of formation	-52.66	kJ/mol of atoms


Record 20
VASP calculation (PBE) on an optimized crystal structure of Ac2MgAl3Au4.

abc: 4.6169 4.6169 10.6207
angles: 90.00 90.00 90.00
Fractional coordinates of all 10 atoms:
Ac (0.0000, 0.5000, 0.2426)
Ac (0.5000, 0.0000, 0.7574)
Mg (0.0000, 0.0000, 0.5000)
Al (0.0000, 0.5000, 0.8756)
Al (0.5000, 0.0000, 0.1244)
Al (0.5000, 0.5000, 0.5000)
Au (0.0000, 0.0000, 0.0000)
Au (0.0000, 0.5000, 0.6336)
Au (0.5000, 0.0000, 0.3664)
Au (0.5000, 0.5000, 0.0000)

Results
mass density	9.88	g cm⁻³
energy of formation	-68.53	kJ/mol of atoms